Record 1
Computed, not measured: a PBEsol-optimized structure of Ca2BeP at the meta-GGA SCAN level of DFT.

Cell: 3.595 3.595 6.450 Å, 90.00 90.00 90.00°
Fractional positions:
1 Ca 0.000 0.000 0.766
2 Ca 0.000 0.000 0.234
3 Be 0.500 0.500 0.500
4 P 0.500 0.500 0.000

Output
calculated volume	83	Å³/f.u.
density	2.4	g cm⁻³
formation enthalpy at 0 K	-0.3343	eV per atom
space group	P4/mmm, No. 123
E_tot	-35.4	eV per cell

---

Record 2
Computed, not measured: a PBEsol-optimized structure of YBi2C at the meta-GGA SCAN level of DFT.

Cell: 6.302 6.302 6.302 Å, 108.79 108.79 110.83°
Fractional positions:
1 C 0.750 0.250 0.500
2 C 0.500 0.500 0.000
3 Bi 0.462 0.375 0.587
4 Bi 0.125 0.538 0.913
5 Bi 0.625 0.212 0.087
6 Bi 0.788 0.875 0.413
7 Y 0.000 0.000 0.000
8 Y 0.250 0.750 0.500

Output
calculated volume	96	Å³/f.u.
density	8.9	g cm⁻³
formation enthalpy at 0 K	0.6676	eV per atom
space group	I-42d, No. 122
E_tot	-384.9	eV per cell

---

Record 3
Computed, not measured: a PBEsol-optimized structure of SrTl2Os at the meta-GGA SCAN level of DFT.

Cell: 5.001 5.001 5.001 Å, 60.00 60.00 60.00°
Fractional positions:
1 Tl 0.750 0.750 0.750
2 Tl 0.250 0.250 0.250
3 Sr 0.500 0.500 0.500
4 Os 0.000 0.000 0.000

Output
calculated volume	88	Å³/f.u.
density	12.9	g cm⁻³
formation enthalpy at 0 K	0.4801	eV per atom
space group	Fm-3m, No. 225
E_tot	-237.0	eV per cell

---

Record 4
Computed, not measured: a PBEsol-optimized structure of Mn2NiOs at the meta-GGA SCAN level of DFT.

Cell: 3.601 3.601 4.349 Å, 114.46 114.46 90.00°
Fractional positions:
1 Os 0.500 0.500 0.000
2 Mn 0.750 0.250 0.500
3 Mn 0.250 0.750 0.500
4 Ni 0.000 0.000 0.000

Output
calculated volume	46	Å³/f.u.
density	13.0	g cm⁻³
formation enthalpy at 0 K	-0.0363	eV per atom
space group	I4/mmm, No. 139
E_tot	-124.7	eV per cell

---

Record 5
Computed, not measured: a PBEsol-optimized structure of NbSbS2N at the meta-GGA SCAN level of DFT.

Cell: 3.830 4.958 4.958 Å, 90.00 90.00 90.00°
Fractional positions:
1 S 0.000 0.000 0.500
2 S 0.000 0.500 0.000
3 Nb 0.500 0.500 0.500
4 Sb 0.000 0.000 0.000
5 N 0.500 0.000 0.000

Output
calculated volume	94	Å³/f.u.
density	5.2	g cm⁻³
formation energy from raw total energies	4.3	eV per formula unit
space group	P4/mmm, No. 123
E_tot	-94.6	eV per cell

---

Record 6
Computed, not measured: a PBEsol-optimized structure of MnCrTc at the meta-GGA SCAN level of DFT.

Cell: 2.593 2.593 6.211 Å, 90.00 90.00 120.00°
Fractional positions:
1 Cr 0.000 0.000 0.984
2 Tc 0.667 0.333 0.339
3 Mn 0.333 0.667 0.677

Output
calculated volume	36	Å³/f.u.
density	9.4	g cm⁻³
formation enthalpy at 0 K	0.2916	eV per atom
space group	P3m1, No. 156
E_tot	-70.8	eV per cell

---

Record 7
Computed, not measured: a PBEsol-optimized structure of BaSr2Sb at the meta-GGA SCAN level of DFT.

Cell: 5.136 5.136 6.746 Å, 112.37 112.37 90.00°
Fractional positions:
1 Sb 0.250 0.750 0.500
2 Sr 0.750 0.250 0.500
3 Sr 0.000 0.000 0.000
4 Ba 0.500 0.500 0.000

Output
calculated volume	150	Å³/f.u.
density	4.8	g cm⁻³
formation energy from raw total energies	-1.8	eV per formula unit
space group	I-4m2, No. 119
E_tot	-123.1	eV per cell

---

Record 8
Computed, not measured: a PBEsol-optimized structure of Be2Hg at the meta-GGA SCAN level of DFT.

Cell: 2.848 2.848 5.884 Å, 90.00 90.00 120.00°
Fractional positions:
1 Hg 0.000 0.000 0.000
2 Be 0.333 0.667 0.364
3 Be 0.667 0.333 0.636

Output
calculated volume	41	Å³/f.u.
density	8.8	g cm⁻³
formation enthalpy at 0 K	0.5803	eV per atom
space group	P-3m1, No. 164
E_tot	-75.1	eV per cell